# Y4AlGaO, optimized geometry, DFT PBE
data_Y4AlGaO
_chemical_formula_sum 'Y16 Al4 Ga4 O4'
_symmetry_space_group_name_H-M 'C m c m'
_symmetry_Int_Tables_number 63
_symmetry_space_group_name_Hall '-C 2c 2'
_cell_length_a 6.475
_cell_length_b 15.874
_cell_length_c 6.481
_cell_angle_alpha 90.00
_cell_angle_beta 90.00
_cell_angle_gamma 90.00
loop_
_atom_site_label
_atom_site_type_symbol
_atom_site_fract_x
_atom_site_fract_y
_atom_site_fract_z
Y1 Y 0.000 0.074 0.250
Y2 Y 0.000 0.421 0.250
Y3 Y 0.250 0.250 0.000
Al1 Al 0.000 0.387 0.750
Ga1 Ga 0.000 0.116 0.750
O1 O 0.000 0.251 0.250
# DFT total energy = -6.47 eV per atom
# E_form (uncorrected) = -744 kJ/mol of formula units
# Magnetic moment = 0.00 μB/f.u.